# GGA-PBE ScUPaSn, optimized geometry
# Total moment in μB per cell: 18.24
# Mass density in g cm⁻³: 10.99
# Formation enthalpy at 0 K in meV/atom: 141.9
data_ScUPaSn
_space_group_name_H-M_alt 'F -4 3 m'
_space_group_IT_number 216
_space_group_name_Hall 'F -4 2 3'
_cell_length_a 7.2579
_cell_length_b 7.2579
_cell_length_c 7.2579
_cell_angle_alpha 90.00
_cell_angle_beta 90.00
_cell_angle_gamma 90.00
loop_
_atom_site_label
_atom_site_type_symbol
_atom_site_fract_x
_atom_site_fract_y
_atom_site_fract_z
Sc1 Sc 0.0000 0.0000 0.0000
U1 U 0.2500 0.2500 0.7500
Pa1 Pa 0.0000 0.0000 0.5000
Sn1 Sn 0.2500 0.2500 0.2500

=====

# GGA-PBE Tb2ErTmSe4, optimized geometry
# Total moment in μB per cell: 0.00
# Formation energy from raw total energies in eV/atom: -1.724
# Mass density in g cm⁻³: 8.50
data_Tb2ErTmSe4
_space_group_name_H-M_alt 'P 1 2/m 1'
_space_group_IT_number 10
_space_group_name_Hall '-P 2y'
_cell_length_a 6.9885
_cell_length_b 4.0056
_cell_length_c 7.1464
_cell_angle_alpha 90.00
_cell_angle_beta 108.80
_cell_angle_gamma 90.00
loop_
_atom_site_label
_atom_site_type_symbol
_atom_site_fract_x
_atom_site_fract_y
_atom_site_fract_z
Tb1 Tb 0.0000 0.0000 0.0000
Tb2 Tb 0.5000 0.5000 0.0000
Er1 Er 0.0000 0.5000 0.5000
Tm1 Tm 0.5000 0.0000 0.5000
Se1 Se 0.2487 0.0000 0.7433
Se2 Se 0.2534 0.5000 0.2573

=====

# GGA-PBE PPt, optimized geometry
# Total moment in μB per cell: 0.00
# Mass density in g cm⁻³: 9.80
# Formation enthalpy at 0 K in meV/atom: -333.7
data_PPt
_space_group_name_H-M_alt 'P 63 m c'
_space_group_IT_number 186
_space_group_name_Hall 'P 6c -2c'
_cell_length_a 3.6786
_cell_length_b 3.6786
_cell_length_c 6.5393
_cell_angle_alpha 90.00
_cell_angle_beta 90.00
_cell_angle_gamma 120.00
loop_
_atom_site_label
_atom_site_type_symbol
_atom_site_fract_x
_atom_site_fract_y
_atom_site_fract_z
P1 P 0.3333 0.6667 0.0000
Pt1 Pt 0.3333 0.6667 0.3597

=====

# GGA-PBE KAgF3, optimized geometry
# Total moment in μB per cell: 0.00
# Formation energy from raw total energies in eV/atom: -1.443
# Mass density in g cm⁻³: 4.00
data_KAgF3
_space_group_name_H-M_alt 'C m c m'
_space_group_IT_number 63
_space_group_name_Hall '-C 2c 2'
_cell_length_a 4.1049
_cell_length_b 15.6453
_cell_length_c 5.2771
_cell_angle_alpha 90.00
_cell_angle_beta 90.00
_cell_angle_gamma 90.00
loop_
_atom_site_label
_atom_site_type_symbol
_atom_site_fract_x
_atom_site_fract_y
_atom_site_fract_z
K1 K 0.0000 0.1656 0.2500
Ag1 Ag 0.0000 0.4619 0.2500
F1 F 0.0000 0.0000 0.0000
F2 F 0.2465 0.1783 0.7500

=====

# GGA-PBE CdAgSb2, optimized geometry
# Total moment in μB per cell: 0.00
# Formation energy from raw total energies in eV/atom: 0.117
# Mass density in g cm⁻³: 7.63
# Distance to the lowest polymorph of the same formula in meV/atom: 38
data_CdAgSb2
_space_group_name_H-M_alt 'P 1 2/m 1'
_space_group_IT_number 10
_space_group_name_Hall '-P 2y'
_cell_length_a 3.0546
_cell_length_b 4.0044
_cell_length_c 8.3653
_cell_angle_alpha 90.00
_cell_angle_beta 99.62
_cell_angle_gamma 90.00
loop_
_atom_site_label
_atom_site_type_symbol
_atom_site_fract_x
_atom_site_fract_y
_atom_site_fract_z
Cd1 Cd 0.0000 0.0000 0.0000
Ag1 Ag 0.5000 0.0000 0.5000
Sb1 Sb 0.0875 0.5000 0.7241

=====

# GGA-PBE Th2TcW, optimized geometry
# Total moment in μB per cell: 0.00
# Mass density in g cm⁻³: 13.40
# Formation enthalpy at 0 K in meV/atom: 925.8
data_Th2TcW
_space_group_name_H-M_alt 'R -3 m'
_space_group_IT_number 166
_space_group_name_Hall '-R 3 2"'
_cell_length_a 3.2176
_cell_length_b 3.2176
_cell_length_c 30.9338
_cell_angle_alpha 90.00
_cell_angle_beta 90.00
_cell_angle_gamma 120.00
loop_
_atom_site_label
_atom_site_type_symbol
_atom_site_fract_x
_atom_site_fract_y
_atom_site_fract_z
Th1 Th 0.0000 0.0000 0.0922
Tc1 Tc 0.0000 0.0000 0.5000
W1 W 0.0000 0.0000 0.0000

=====

# GGA-PBE K2Na6HgPd, optimized geometry
# Total moment in μB per cell: 0.00
# Mass density in g cm⁻³: 2.20
# Formation enthalpy at 0 K in meV/atom: -24.6
data_K2Na6HgPd
_space_group_name_H-M_alt 'F m -3 m'
_space_group_IT_number 225
_space_group_name_Hall '-F 4 2 3'
_cell_length_a 11.6404
_cell_length_b 11.6404
_cell_length_c 11.6404
_cell_angle_alpha 90.00
_cell_angle_beta 90.00
_cell_angle_gamma 90.00
loop_
_atom_site_label
_atom_site_type_symbol
_atom_site_fract_x
_atom_site_fract_y
_atom_site_fract_z
K1 K 0.2500 0.2500 0.2500
Na1 Na 0.0000 0.0000 0.2408
Hg1 Hg 0.0000 0.0000 0.5000
Pd1 Pd 0.0000 0.0000 0.0000

=====

# GGA-PBE Ga2BiOs, optimized geometry
# Total moment in μB per cell: 0.00
# Mass density in g cm⁻³: 11.89
# Distance to the lowest polymorph of the same formula in meV/atom: 143
# Formation enthalpy at 0 K in meV/atom: 590.1
data_Ga2BiOs
_space_group_name_H-M_alt 'F m -3 m'
_space_group_IT_number 225
_space_group_name_Hall '-F 4 2 3'
_cell_length_a 6.7018
_cell_length_b 6.7018
_cell_length_c 6.7018
_cell_angle_alpha 90.00
_cell_angle_beta 90.00
_cell_angle_gamma 90.00
loop_
_atom_site_label
_atom_site_type_symbol
_atom_site_fract_x
_atom_site_fract_y
_atom_site_fract_z
Ga1 Ga 0.2500 0.2500 0.2500
Bi1 Bi 0.0000 0.0000 0.0000
Os1 Os 0.0000 0.0000 0.5000

=====

# GGA-PBE MgScTc, optimized geometry
# Total moment in μB per cell: 0.02
# Mass density in g cm⁻³: 4.34
# Distance to the lowest polymorph of the same formula in meV/atom: 493
# Formation enthalpy at 0 K in meV/atom: 530.8
data_MgScTc
_space_group_name_H-M_alt 'F -4 3 m'
_space_group_IT_number 216
_space_group_name_Hall 'F -4 2 3'
_cell_length_a 6.3488
_cell_length_b 6.3488
_cell_length_c 6.3488
_cell_angle_alpha 90.00
_cell_angle_beta 90.00
_cell_angle_gamma 90.00
loop_
_atom_site_label
_atom_site_type_symbol
_atom_site_fract_x
_atom_site_fract_y
_atom_site_fract_z
Mg1 Mg 0.0000 0.0000 0.0000
Sc1 Sc 0.0000 0.0000 0.5000
Tc1 Tc 0.2500 0.2500 0.2500

=====

# GGA-PBE TiB2W, optimized geometry
# Total moment in μB per cell: 0.00
# Mass density in g cm⁻³: 9.68
# Distance to the lowest polymorph of the same formula in meV/atom: 961
# Formation enthalpy at 0 K in meV/atom: 175.7
data_TiB2W
_space_group_name_H-M_alt 'F m -3 m'
_space_group_IT_number 225
_space_group_name_Hall '-F 4 2 3'
_cell_length_a 5.5802
_cell_length_b 5.5802
_cell_length_c 5.5802
_cell_angle_alpha 90.00
_cell_angle_beta 90.00
_cell_angle_gamma 90.00
loop_
_atom_site_label
_atom_site_type_symbol
_atom_site_fract_x
_atom_site_fract_y
_atom_site_fract_z
Ti1 Ti 0.0000 0.0000 0.0000
B1 B 0.2500 0.2500 0.2500
W1 W 0.0000 0.0000 0.5000

=====

# GGA-PBE MgGa6Ag12, optimized geometry
# Total moment in μB per cell: 0.00
# Mass density in g cm⁻³: 8.59
# Distance to the lowest polymorph of the same formula in meV/atom: 0
# Formation enthalpy at 0 K in meV/atom: -30.9
data_MgGa6Ag12
_space_group_name_H-M_alt 'R -3'
_space_group_IT_number 148
_space_group_name_Hall '-R 3'
_cell_length_a 12.5100
_cell_length_b 12.5100
_cell_length_c 7.4358
_cell_angle_alpha 90.00
_cell_angle_beta 90.00
_cell_angle_gamma 120.00
loop_
_atom_site_label
_atom_site_type_symbol
_atom_site_fract_x
_atom_site_fract_y
_atom_site_fract_z
Mg1 Mg 0.0000 0.0000 0.0000
Ga1 Ga 0.0284 0.2763 0.3348
Ag1 Ag 0.0083 0.1379 0.6660
Ag2 Ag 0.0689 0.5652 0.6650

=====

# GGA-PBE K3NdTe2O9, optimized geometry
# Total moment in μB per cell: 0.00
# Formation energy from raw total energies in eV/atom: -1.656
# Mass density in g cm⁻³: 4.96
data_K3NdTe2O9
_space_group_name_H-M_alt 'P -3 m 1'
_space_group_IT_number 164
_space_group_name_Hall '-P 3 2"'
_cell_length_a 5.9007
_cell_length_b 5.9007
_cell_length_c 7.3315
_cell_angle_alpha 90.00
_cell_angle_beta 90.00
_cell_angle_gamma 120.00
loop_
_atom_site_label
_atom_site_type_symbol
_atom_site_fract_x
_atom_site_fract_y
_atom_site_fract_z
K1 K 0.0000 0.0000 0.0000
K2 K 0.3333 0.6667 0.6735
Nd1 Nd 0.0000 0.0000 0.5000
Te1 Te 0.3333 0.6667 0.1628
O1 O 0.0000 0.5000 0.0000
O2 O 0.1785 0.3571 0.3061